[1]
Computed, not measured: a geometry-optimized NbAu structure at the PBE level of DFT.

Properties
crystal system	orthorhombic
magnetization	0.000	μB per cell
ΔH_f (0 K)	-123.6	meV/atom

Cell: 2.850 2.850 8.917 Å, 90.00 90.00 95.14°
Atoms (fractional coordinates):
Nb 0.750 0.250 0.128
Nb 0.250 0.750 0.872
Au 0.750 0.250 0.630
Au 0.250 0.750 0.370


[2]
Computed, not measured: a geometry-optimized Nb3Au2 structure at the PBE level of DFT.

Properties
crystal system	tetragonal
magnetization	0.000	μB per cell
ΔH_f (0 K)	-107.5	meV/atom
energy above the most stable polymorph in this dataset	0.0561	eV per atom

Cell: 2.843 2.843 11.240 Å, 97.27 97.27 90.00°
Atoms (fractional coordinates):
Nb 0.698 0.698 0.396
Nb 0.302 0.302 0.604
Nb 0.500 0.500 0.000
Au 0.901 0.901 0.803
Au 0.099 0.099 0.197


[3]
Computed, not measured: a geometry-optimized NbAu structure at the PBE level of DFT.

Properties
crystal system	tetragonal
magnetization	0.000	μB per cell
ΔH_f (0 K)	431.0	meV/atom

Cell: 5.380 5.380 5.562 Å, 90.00 90.00 90.00°
Atoms (fractional coordinates):
Nb 0.325 0.675 0.000
Nb 0.825 0.825 0.500
Nb 0.175 0.175 0.500
Nb 0.675 0.325 0.000
Au 0.182 0.182 0.000
Au 0.682 0.318 0.500
Au 0.318 0.682 0.500
Au 0.818 0.818 0.000


[4]
Computed, not measured: a geometry-optimized Nb3Au2 structure at the PBE level of DFT.

Properties
crystal system	cubic
magnetization	0.000	μB per cell
ΔH_f (0 K)	-41.9	meV/atom
energy above the most stable polymorph in this dataset	0.1218	eV per atom

Cell: 7.126 7.126 7.126 Å, 90.00 90.00 90.00°
Atoms (fractional coordinates):
Nb 0.808 0.942 0.375
Nb 0.692 0.058 0.875
Nb 0.192 0.442 0.125
Nb 0.308 0.558 0.625
Nb 0.942 0.375 0.808
Nb 0.058 0.875 0.692
Nb 0.442 0.125 0.192
Nb 0.558 0.625 0.308
Nb 0.375 0.808 0.942
Nb 0.875 0.692 0.058
Nb 0.125 0.192 0.442
Nb 0.625 0.308 0.558
Au 0.199 0.801 0.301
Au 0.301 0.199 0.801
Au 0.801 0.301 0.199
Au 0.699 0.699 0.699
Au 0.551 0.449 0.949
Au 0.449 0.949 0.551
Au 0.949 0.551 0.449
Au 0.051 0.051 0.051